Entry 1:
An optimized crystal structure of SrAl9Pd2, computed with PBE-GGA.

Calculated values
Energy of formation from the pure elements   -4.93 eV per formula unit
N(E_F)   0.3509 states/eV/atom
Calculated total energy   -4.2235 eV per atom

a b c (Å): 10.766 10.766 7.380
angles (deg): 90.00 90.00 90.00
Space group I4_1/amd (No. 141, origin choice 2)
Symmetry-distinct sites (fractional):
Sr: 0.000 0.250 0.375 [4 per cell]
Al: 0.000 0.250 0.875 [4 per cell]
Al: 0.123 0.047 0.685 [32 per cell]
Pd: 0.000 0.000 0.000 [8 per cell]



Entry 2:
An optimized crystal structure of K3Tm3CrSe8, computed with PBE-GGA.

Calculated values
Formation energy (no corrections)   -32.93 kcal/mol of atoms
N(E_F)   0.4396 states/eV/atom
Calculated total energy   -5.0419 eV per atom

a b c (Å): 13.878 8.001 9.177
angles (deg): 90.00 120.31 90.00
Space group C2/m (No. 12)
Symmetry-distinct sites (fractional):
K: 0.000 0.000 0.000 [2 per cell]
K: 0.250 0.250 0.000 [4 per cell]
Tm: 0.000 0.500 0.500 [2 per cell]
Tm: 0.250 0.250 0.500 [4 per cell]
Cr: 0.000 0.000 0.500 [2 per cell]
Se: 0.014 0.232 0.310 [8 per cell]
Se: 0.218 0.000 0.690 [4 per cell]
Se: 0.235 0.500 0.705 [4 per cell]